(1)
Density functional theory data (PBE-GGA) for an optimized crystal structure of Cu2Re3.

Cell and atoms, written as extended XYZ:
```
5
Lattice="4.091 0.000 0.000 -2.045 3.543 0.000 0.000 0.000 5.103" Properties=species:S:1:pos:R:3 pbc="T T T"
Cu 0.000 2.362 1.799
Cu 2.045 1.181 3.304
Re 0.000 0.000 2.552
Re 0.000 2.362 4.439
Re 2.045 1.181 0.664
```

Values from the calculation:
Space group ... No. 164
Excess energy over the best structure of this formula in the dataset ... 685 meV/atom
Magnetization ... 0.0 μB per formula unit
V ... 14.8 Å³ per atom

---

(2)
Density functional theory data (PBE-GGA) for an optimized crystal structure of CuRe5.

Cell and atoms, written as extended XYZ:
```
6
Lattice="0.000 3.619 3.619 3.619 0.000 3.619 3.619 3.619 0.000" Properties=species:S:1:pos:R:3 pbc="T T T"
Cu 0.000 0.000 0.000
Re 4.530 2.708 2.708
Re 1.809 1.809 1.809
Re 2.708 4.530 2.708
Re 2.708 2.708 4.530
Re 4.530 4.530 4.530
```

Values from the calculation:
Space group ... No. 216
Excess energy over the best structure of this formula in the dataset ... 457 meV/atom
Magnetization ... 0.0 μB per formula unit
V ... 15.8 Å³ per atom

---

(3)
Density functional theory data (PBE-GGA) for an optimized crystal structure of CuRe.

Cell and atoms, written as extended XYZ:
```
4
Lattice="2.621 0.000 0.000 0.000 4.230 0.000 -0.833 0.000 4.953" Properties=species:S:1:pos:R:3 pbc="T T T"
Cu 0.004 1.057 0.560
Cu 1.784 3.172 4.393
Re 0.509 1.057 3.095
Re 1.279 3.172 1.857
```

Values from the calculation:
Space group ... No. 11
Excess energy over the best structure of this formula in the dataset ... 86 meV/atom
Magnetization ... 0.0 μB per formula unit
V ... 13.7 Å³ per atom

---

(4)
Density functional theory data (PBE-GGA) for an optimized crystal structure of CuRe.

Cell and atoms, written as extended XYZ:
```
12
Lattice="6.622 0.000 0.000 0.000 6.622 0.000 0.000 0.000 6.622" Properties=species:S:1:pos:R:3 pbc="T T T"
Cu 0.000 1.655 3.311
Cu 0.000 4.966 3.311
Cu 1.655 3.311 0.000
Cu 3.311 0.000 1.655
Cu 3.311 0.000 4.966
Cu 4.966 3.311 0.000
Re 0.000 3.311 1.655
Re 0.000 3.311 4.966
Re 1.655 0.000 3.311
Re 3.311 1.655 0.000
Re 3.311 4.966 0.000
Re 4.966 0.000 3.311
```

Values from the calculation:
Space group ... No. 223
Excess energy over the best structure of this formula in the dataset ... 2397 meV/atom
Magnetization ... 0.2 μB per formula unit
V ... 24.2 Å³ per atom

---

(5)
Density functional theory data (PBE-GGA) for an optimized crystal structure of CuRe.

Cell and atoms, written as extended XYZ:
```
16
Lattice="7.711 0.000 0.000 0.000 7.711 0.000 0.000 0.000 3.968" Properties=species:S:1:pos:R:3 pbc="T T T"
Cu 1.181 1.294 0.000
Cu 1.294 6.530 0.000
Cu 2.562 2.675 1.984
Cu 2.675 5.149 1.984
Cu 5.037 2.562 1.984
Cu 5.149 5.037 1.984
Cu 6.418 1.181 0.000
Cu 6.530 6.418 0.000
Re 0.116 5.136 1.984
Re 1.281 3.972 0.000
Re 2.575 0.116 1.984
Re 3.739 1.281 0.000
Re 3.972 6.431 0.000
Re 5.136 7.595 1.984
Re 6.431 3.739 0.000
Re 7.595 2.575 1.984
```

Values from the calculation:
Space group ... No. 128
Excess energy over the best structure of this formula in the dataset ... 456 meV/atom
Magnetization ... 0.0 μB per formula unit
V ... 14.7 Å³ per atom

---

(6)
Density functional theory data (PBE-GGA) for an optimized crystal structure of Cu3Re.

Cell and atoms, written as extended XYZ:
```
4
Lattice="3.716 0.000 0.000 0.000 3.716 0.000 0.000 0.000 3.716" Properties=species:S:1:pos:R:3 pbc="T T T"
Cu 0.000 0.000 1.858
Cu 0.000 1.858 0.000
Cu 1.858 0.000 0.000
Re 1.858 1.858 1.858
```

Values from the calculation:
Space group ... No. 221
E_tot ... -5.68 eV per atom
Magnetization ... 0.0 μB per formula unit
V ... 12.8 Å³ per atom

---

(7)
Density functional theory data (PBE-GGA) for an optimized crystal structure of Cu4Re5.

Cell and atoms, written as extended XYZ:
```
18
Lattice="7.427 0.000 0.000 -3.714 6.432 0.000 0.000 0.000 5.139" Properties=species:S:1:pos:R:3 pbc="T T T"
Cu 0.000 0.000 0.000
Cu 0.000 0.000 2.570
Cu -1.366 2.366 1.285
Cu -2.347 4.066 3.854
Cu 2.732 0.000 1.285
Cu 1.366 2.366 3.854
Cu 4.695 0.000 3.854
Cu 2.347 4.066 1.285
Re -1.116 1.933 3.854
Re -2.597 4.499 1.285
Re 2.232 0.000 3.854
Re 1.116 1.933 1.285
Re 0.000 4.288 0.000
Re 0.000 4.288 2.570
Re 3.714 2.144 0.000
Re 3.714 2.144 2.570
Re 5.195 0.000 1.285
Re 2.597 4.499 3.854
```

Values from the calculation:
Space group ... No. 193
Excess energy over the best structure of this formula in the dataset ... 282 meV/atom
Magnetization ... 0.0 μB per formula unit
V ... 13.6 Å³ per atom

---

(8)
Density functional theory data (PBE-GGA) for an optimized crystal structure of Cu4Re5.

Cell and atoms, written as extended XYZ:
```
9
Lattice="-4.042 4.042 1.894 4.042 -4.042 1.894 4.042 4.042 -1.894" Properties=species:S:1:pos:R:3 pbc="T T T"
Cu 2.717 0.000 0.000
Cu 5.368 0.000 0.000
Cu 0.000 2.717 0.000
Cu 0.000 5.368 0.000
Re 0.000 0.000 0.000
Re 2.691 2.691 0.000
Re 1.351 -1.351 1.894
Re -1.351 1.351 1.894
Re 1.351 1.351 1.894
```

Values from the calculation:
Space group ... No. 139
Excess energy over the best structure of this formula in the dataset ... 0 meV/atom
Magnetization ... 0.0 μB per formula unit
V ... 13.8 Å³ per atom

---

(9)
Density functional theory data (PBE-GGA) for an optimized crystal structure of CuRe.

Cell and atoms, written as extended XYZ:
```
4
Lattice="4.107 0.000 0.000 -2.054 3.557 0.000 0.000 0.000 4.905" Properties=species:S:1:pos:R:3 pbc="T T T"
Cu 0.000 2.371 1.226
Cu 2.054 1.186 3.679
Re 0.000 2.371 3.679
Re 2.054 1.186 1.226
```

Values from the calculation:
Space group ... No. 194
Excess energy over the best structure of this formula in the dataset ... 1710 meV/atom
Magnetization ... 0.0 μB per formula unit
V ... 17.9 Å³ per atom

---

(10)
Density functional theory data (PBE-GGA) for an optimized crystal structure of CuRe.

Cell and atoms, written as extended XYZ:
```
4
Lattice="3.820 0.000 0.000 -1.910 3.308 0.000 0.000 0.000 4.706" Properties=species:S:1:pos:R:3 pbc="T T T"
Cu 0.000 0.000 0.000
Cu 0.000 0.000 2.353
Re 0.000 2.206 1.176
Re 1.910 1.103 3.529
```

Values from the calculation:
Space group ... No. 194
Excess energy over the best structure of this formula in the dataset ... 1154 meV/atom
Magnetization ... 0.0 μB per formula unit
V ... 14.9 Å³ per atom

---

(11)
Density functional theory data (PBE-GGA) for an optimized crystal structure of CuRe2.

Cell and atoms, written as extended XYZ:
```
3
Lattice="-1.588 1.588 4.189 1.588 -1.588 4.189 1.588 1.588 -4.189" Properties=species:S:1:pos:R:3 pbc="T T T"
Cu 0.000 0.000 0.000
Re 0.000 0.000 2.781
Re 0.000 0.000 5.597
```

Values from the calculation:
Space group ... No. 139
Excess energy over the best structure of this formula in the dataset ... 84 meV/atom
Magnetization ... 0.0 μB per formula unit
V ... 14.1 Å³ per atom

---

(12)
Density functional theory data (PBE-GGA) for an optimized crystal structure of CuRe4.

Cell and atoms, written as extended XYZ:
```
5
Lattice="-2.022 2.022 5.511 2.022 -2.022 5.511 2.022 2.022 -5.511" Properties=species:S:1:pos:R:3 pbc="T T T"
Cu 0.000 0.000 0.000
Re 2.022 0.000 2.756
Re 0.000 0.000 4.258
Re 0.000 0.000 6.764
Re 0.000 2.022 2.756
```

Values from the calculation:
Space group ... No. 139
Excess energy over the best structure of this formula in the dataset ... 574 meV/atom
Magnetization ... 0.0 μB per formula unit
V ... 18.0 Å³ per atom

---

(13)
Density functional theory data (PBE-GGA) for an optimized crystal structure of Cu3Re.

Cell and atoms, written as extended XYZ:
```
4
Lattice="2.494 0.000 0.000 0.000 4.227 0.000 -0.543 0.000 4.890" Properties=species:S:1:pos:R:3 pbc="T T T"
Cu 0.000 0.000 0.000
Cu -0.067 2.113 3.662
Cu 2.017 2.113 1.227
Re 0.975 0.000 2.445
```

Values from the calculation:
Space group ... No. 10
E_tot ... -5.89 eV per atom
Magnetization ... 0.0 μB per formula unit
V ... 12.9 Å³ per atom

---

(14)
Density functional theory data (PBE-GGA) for an optimized crystal structure of CuRe4.

Cell and atoms, written as extended XYZ:
```
5
Lattice="-3.051 3.051 1.953 3.051 -3.051 1.953 3.051 3.051 -1.953" Properties=species:S:1:pos:R:3 pbc="T T T"
Cu 0.000 0.000 0.000
Re 2.501 1.255 0.000
Re 1.796 -0.550 1.953
Re 1.255 3.601 0.000
Re 0.550 1.796 1.953
```

Values from the calculation:
Space group ... No. 87
Excess energy over the best structure of this formula in the dataset ... 0 meV/atom
Magnetization ... 0.0 μB per formula unit
V ... 14.5 Å³ per atom

---

(15)
Density functional theory data (PBE-GGA) for an optimized crystal structure of CuRe2.

Cell and atoms, written as extended XYZ:
```
9
Lattice="7.345 0.000 0.000 -3.672 6.361 0.000 0.000 0.000 2.694" Properties=species:S:1:pos:R:3 pbc="T T T"
Cu 0.000 0.000 0.000
Cu 0.000 4.240 1.347
Cu 3.672 2.120 1.347
Re -1.126 1.951 1.347
Re -2.361 4.090 0.000
Re 2.253 0.000 1.347
Re 1.311 2.271 0.000
Re 4.723 0.000 0.000
Re 2.546 4.410 1.347
```

Values from the calculation:
Space group ... No. 189
Excess energy over the best structure of this formula in the dataset ... 82 meV/atom
Magnetization ... 0.0 μB per formula unit
V ... 14.0 Å³ per atom

---

(16)
Density functional theory data (PBE-GGA) for an optimized crystal structure of Cu3Re.

Cell and atoms, written as extended XYZ:
```
4
Lattice="0.000 2.950 2.950 2.950 0.000 2.950 2.950 2.950 0.000" Properties=species:S:1:pos:R:3 pbc="T T T"
Cu 0.000 0.000 0.000
Cu 1.475 1.475 1.475
Cu 4.426 4.426 4.426
Re 2.950 2.950 2.950
```

Values from the calculation:
Space group ... No. 225
E_tot ... -5.65 eV per atom
Magnetization ... 1.1 μB per formula unit
V ... 12.8 Å³ per atom

---

(17)
Density functional theory data (PBE-GGA) for an optimized crystal structure of CuRe.

Cell and atoms, written as extended XYZ:
```
4
Lattice="1.493 -2.173 0.000 1.493 2.173 0.000 0.000 0.000 8.610" Properties=species:S:1:pos:R:3 pbc="T T T"
Cu 1.493 1.087 7.609
Cu 1.493 -1.087 1.001
Re 1.493 1.087 3.201
Re 1.493 -1.087 5.409
```

Values from the calculation:
Space group ... No. 67
Excess energy over the best structure of this formula in the dataset ... 137 meV/atom
Magnetization ... 0.0 μB per formula unit
V ... 14.0 Å³ per atom

---

(18)
Density functional theory data (PBE-GGA) for an optimized crystal structure of CuRe2.

Cell and atoms, written as extended XYZ:
```
6
Lattice="4.915 -1.405 0.000 4.915 1.405 0.000 -1.670 0.000 6.200" Properties=species:S:1:pos:R:3 pbc="T T T"
Cu 1.354 0.000 0.198
Cu 6.807 0.000 6.002
Re 0.866 0.000 3.916
Re 3.555 0.000 4.332
Re 4.605 0.000 1.868
Re 7.294 0.000 2.284
```

Values from the calculation:
Space group ... No. 12
Excess energy over the best structure of this formula in the dataset ... 99 meV/atom
Magnetization ... 0.0 μB per formula unit
V ... 14.3 Å³ per atom

---

(19)
Density functional theory data (PBE-GGA) for an optimized crystal structure of CuRe.

Cell and atoms, written as extended XYZ:
```
4
Lattice="2.754 0.000 0.000 -1.377 2.385 0.000 0.000 0.000 8.511" Properties=species:S:1:pos:R:3 pbc="T T T"
Cu 0.000 1.590 3.250
Cu 1.377 0.795 5.262
Re 0.000 1.590 7.459
Re 1.377 0.795 1.053
```

Values from the calculation:
Space group ... No. 164
Excess energy over the best structure of this formula in the dataset ... 0 meV/atom
Magnetization ... 0.0 μB per formula unit
V ... 14.0 Å³ per atom

---

(20)
Density functional theory data (PBE-GGA) for an optimized crystal structure of Cu7Re.

Cell and atoms, written as extended XYZ:
```
8
Lattice="0.000 3.681 3.681 3.681 0.000 3.681 3.681 3.681 0.000" Properties=species:S:1:pos:R:3 pbc="T T T"
Cu 0.000 0.000 0.000
Cu 1.840 1.840 0.000
Cu 1.840 0.000 1.840
Cu 3.681 1.840 1.840
Cu 0.000 1.840 1.840
Cu 1.840 3.681 1.840
Cu 1.840 1.840 3.681
Re 3.681 3.681 3.681
```

Values from the calculation:
Space group ... No. 225
E_tot ... -4.87 eV per atom
Magnetization ... 0.0 μB per formula unit
V ... 12.5 Å³ per atom